This record from Alexandria describes a relaxed structure of Sb3IrCl. The functional is PBE.

Unit cell a=5.2435 b=5.2435 c=5.2435 alpha=90.00 beta=90.00 gamma=90.00
Space group Pm-3m (No. 221)
Symmetry-distinct sites (fractional):
Sb: 0.0000 0.0000 0.5000
Ir: 0.0000 0.0000 0.0000
Cl: 0.5000 0.5000 0.5000

Properties
VASP energy   -4.2178 eV/atom
Fermi-level density of states   9.536 states/eV/f.u.


This record from Alexandria describes a relaxed structure of SbIr2Cl. The functional is PBE.

Unit cell a=3.0165 b=4.5259 c=5.0686 alpha=90.00 beta=90.42 gamma=90.00
Space group P2/m (No. 10)
Symmetry-distinct sites (fractional):
Sb: 0.0000 0.0000 0.0000
Ir: 0.2592 0.5000 0.7424
Cl: 0.5000 0.0000 0.5000

Properties
VASP energy   -5.3084 eV/atom
Fermi-level density of states   2.587 states/eV/f.u.


This record from Alexandria describes a relaxed structure of SbIr2Cl. The functional is PBE.

Unit cell a=6.5448 b=6.5448 c=6.5448 alpha=90.00 beta=90.00 gamma=90.00
Space group F-43m (No. 216)
Symmetry-distinct sites (fractional):
Sb: 0.0000 0.0000 0.0000
Ir: 0.0000 0.0000 0.5000
Ir: 0.2500 0.2500 0.2500
Cl: 0.2500 0.2500 0.7500

Properties
VASP energy   -5.1998 eV/atom
Fermi-level density of states   1.111 states/eV/f.u.


This record from Alexandria describes a relaxed structure of SbIrSeCl2. The functional is PBE.

Unit cell a=4.6136 b=4.6136 c=6.1717 alpha=90.00 beta=90.00 gamma=90.00
Space group P4/mmm (No. 123)
Symmetry-distinct sites (fractional):
Sb: 0.0000 0.0000 0.0000
Ir: 0.5000 0.5000 0.0000
Se: 0.0000 0.0000 0.5000
Cl: 0.0000 0.5000 0.5000

Properties
VASP energy   -3.0498 eV/atom
Fermi-level density of states   3.005 states/eV/f.u.


This record from Alexandria describes a relaxed structure of SnSbIrCl2. The functional is PBE.

Unit cell a=4.7300 b=4.7300 c=5.4758 alpha=90.00 beta=90.00 gamma=90.00
Space group P4/mmm (No. 123)
Symmetry-distinct sites (fractional):
Sn: 0.0000 0.0000 0.0000
Sb: 0.5000 0.5000 0.0000
Ir: 0.0000 0.0000 0.5000
Cl: 0.0000 0.5000 0.5000

Properties
VASP energy   -3.8983 eV/atom
Fermi-level density of states   4.613 states/eV/f.u.


This record from Alexandria describes a relaxed structure of Sb2TeIrCl. The functional is PBE.

Unit cell a=5.2238 b=5.2238 c=5.3398 alpha=90.00 beta=90.00 gamma=90.00
Space group P4/mmm (No. 123)
Symmetry-distinct sites (fractional):
Sb: 0.0000 0.5000 0.0000
Te: 0.0000 0.0000 0.5000
Ir: 0.0000 0.0000 0.0000
Cl: 0.5000 0.5000 0.5000

Properties
VASP energy   -4.0249 eV/atom
Fermi-level density of states   7.694 states/eV/f.u.


This record from Alexandria describes a relaxed structure of Sb2TeIrCl. The functional is PBE.

Unit cell a=5.0779 b=5.0779 c=5.3023 alpha=90.00 beta=90.00 gamma=90.00
Space group P4/mmm (No. 123)
Symmetry-distinct sites (fractional):
Sb: 0.0000 0.5000 0.0000
Te: 0.0000 0.0000 0.5000
Ir: 0.5000 0.5000 0.5000
Cl: 0.0000 0.0000 0.0000

Properties
VASP energy   -2.9761 eV/atom
Fermi-level density of states   4.974 states/eV/f.u.


This record from Alexandria describes a relaxed structure of SbTe2IrCl. The functional is PBE.

Unit cell a=5.2786 b=5.2786 c=5.2684 alpha=90.00 beta=90.00 gamma=90.00
Space group P4/mmm (No. 123)
Symmetry-distinct sites (fractional):
Sb: 0.0000 0.0000 0.0000
Te: 0.0000 0.5000 0.5000
Ir: 0.0000 0.0000 0.5000
Cl: 0.5000 0.5000 0.0000

Properties
VASP energy   -3.8129 eV/atom
Fermi-level density of states   7.351 states/eV/f.u.


This record from Alexandria describes a relaxed structure of SbTe2IrCl. The functional is PBE.

Unit cell a=5.2726 b=5.2726 c=5.0680 alpha=90.00 beta=90.00 gamma=90.00
Space group P4/mmm (No. 123)
Symmetry-distinct sites (fractional):
Sb: 0.0000 0.0000 0.0000
Te: 0.0000 0.5000 0.5000
Ir: 0.5000 0.5000 0.0000
Cl: 0.0000 0.0000 0.5000

Properties
VASP energy   -2.6865 eV/atom
Fermi-level density of states   8.223 states/eV/f.u.


This record from Alexandria describes a relaxed structure of Sc2IrCl. The functional is PBE.

Unit cell a=6.5093 b=3.7906 c=7.2762 alpha=90.00 beta=106.69 gamma=90.00
Space group C2/m (No. 12)
Symmetry-distinct sites (fractional):
Sc: 0.2301 0.0000 0.2025
Ir: 0.0000 0.5000 0.0000
Cl: 0.0000 0.0000 0.5000

Properties
VASP energy   -6.8991 eV/atom
Fermi-level density of states   1.817 states/eV/f.u.


This record from Alexandria describes a relaxed structure of ScIr2Cl. The functional is PBE.

Unit cell a=3.0157 b=4.6827 c=9.2364 alpha=90.00 beta=90.00 gamma=90.00
Space group Imm2 (No. 44)
Symmetry-distinct sites (fractional):
Sc: 0.0000 0.0000 0.0000
Ir: 0.0000 0.0000 0.4702
Ir: 0.0000 0.5000 0.2113
Cl: 0.0000 0.5000 0.7305

Properties
VASP energy   -6.3759 eV/atom
Fermi-level density of states   2.756 states/eV/f.u.


This record from Alexandria describes a relaxed structure of Sc2IrCl. The functional is PBE.

Unit cell a=3.7855 b=3.7855 c=5.4294 alpha=90.00 beta=90.00 gamma=90.00
Space group P4/mmm (No. 123)
Symmetry-distinct sites (fractional):
Sc: 0.0000 0.0000 0.0000
Sc: 0.5000 0.5000 0.5000
Ir: 0.0000 0.0000 0.5000
Cl: 0.5000 0.5000 0.0000

Properties
VASP energy   -6.7287 eV/atom
Fermi-level density of states   3.311 states/eV/f.u.


> What is the formula in the sixth record?

Sb2TeIrCl